Compound: LiIn2Ag
Source: Alexandria
Functional: GGA-PBEsol
Structure: optimized geometry

Results
The raw total energy is -2.95 eV/atom. As for the density of states at the Fermi level: 1.1 states/eV/f.u. The symmetry is F-43m (216). The calculation puts the volume at 19.741 Å³ per atom. For the magnetic moment, the calculation gives 0.00 μB/cell. The formation energy comes out at -0.141 eV per atom.

a b c (Å): 4.816 4.816 4.816
angles (deg): 60.00 60.00 60.00
Atoms (fractional coordinates):
In  0.000  0.000  0.000
In  0.750  0.750  0.750
Li  0.250  0.250  0.250
Ag  0.500  0.500  0.500